# K3SmMo2O8 (PBE+U, relaxed)
data_K3SmMo2O8
_symmetry_space_group_name_H-M 'P -3 m 1'
_symmetry_Int_Tables_number 164
_symmetry_space_group_name_Hall '-P 3 2"'
_cell_length_a 6.2094
_cell_length_b 6.2094
_cell_length_c 7.7988
_cell_angle_alpha 90.00
_cell_angle_beta 90.00
_cell_angle_gamma 120.00
loop_
_atom_site_label
_atom_site_type_symbol
_atom_site_fract_x
_atom_site_fract_y
_atom_site_fract_z
_atom_site_occupancy
K1 K 0.0000 0.0000 0.0000 1
K2 K 0.3333 0.6667 0.6652 1
Sm1 Sm 0.0000 0.0000 0.5000 1
Mo1 Mo 0.3333 0.6667 0.2222 1
O1 O 0.1729 0.3458 0.3210 1
O2 O 0.3333 0.6667 0.9914 1
# * mass density: 3.75 g cm⁻³
# * final energy: -89.65 eV/cell